Record 1
## Lu2TlZn (meta-GGA SCAN)

Data for a crystal of Lu2TlZn relaxed with PBEsol.

Structure (CIF):
```
data_Lu2TlZn
_chemical_formula_sum 'Lu2 Tl1 Zn1'
_space_group_name_H-M_alt 'P 1'
_space_group_IT_number 1
_cell_length_a 5.024
_cell_length_b 5.024
_cell_length_c 5.024
_cell_angle_alpha 60.00
_cell_angle_beta 60.00
_cell_angle_gamma 60.00
loop_
_space_group_symop_operation_xyz
'x,y,z'
loop_
_atom_site_label
_atom_site_type_symbol
_atom_site_fract_x
_atom_site_fract_y
_atom_site_fract_z
Tl1 Tl 0.500 0.500 0.500
Zn1 Zn 0.000 0.000 0.000
Lu1 Lu 0.250 0.250 0.250
Lu2 Lu 0.750 0.750 0.750
```

## Properties
Its crystal system is cubic. The calculated formation energy comes out at -0.440 eV/atom. The symmetry is Fm-3m. The magnetization comes out at 0.00 Bohr magnetons per cell.

Record 2
## Tm3Lu (meta-GGA SCAN)

Data for a crystal of Tm3Lu relaxed with PBEsol.

Structure (CIF):
```
data_Tm3Lu
_chemical_formula_sum 'Tm6 Lu2'
_space_group_name_H-M_alt 'P 1'
_space_group_IT_number 1
_cell_length_a 5.404
_cell_length_b 6.969
_cell_length_c 6.969
_cell_angle_alpha 120.00
_cell_angle_beta 90.00
_cell_angle_gamma 90.00
loop_
_space_group_symop_operation_xyz
'x,y,z'
loop_
_atom_site_label
_atom_site_type_symbol
_atom_site_fract_x
_atom_site_fract_y
_atom_site_fract_z
Tm1 Tm 0.250 0.167 0.334
Tm2 Tm 0.750 0.833 0.666
Lu1 Lu 0.250 0.667 0.333
Tm3 Tm 0.250 0.666 0.833
Tm4 Tm 0.250 0.167 0.833
Lu2 Lu 0.750 0.333 0.667
Tm5 Tm 0.750 0.833 0.167
Tm6 Tm 0.750 0.334 0.167
```

## Properties
Its crystal system is hexagonal. The calculated formation energy comes out at 0.000 eV/atom. The symmetry is P6_3/mmc. The magnetization comes out at 0.00 Bohr magnetons per cell.

Record 3
## Lu6Zn23 (meta-GGA SCAN)

Data for a crystal of Lu6Zn23 relaxed with PBEsol.

Structure (CIF):
```
data_Lu6Zn23
_chemical_formula_sum 'Lu6 Zn23'
_space_group_name_H-M_alt 'P 1'
_space_group_IT_number 1
_cell_length_a 8.704
_cell_length_b 8.704
_cell_length_c 8.704
_cell_angle_alpha 60.00
_cell_angle_beta 60.00
_cell_angle_gamma 60.00
loop_
_space_group_symop_operation_xyz
'x,y,z'
loop_
_atom_site_label
_atom_site_type_symbol
_atom_site_fract_x
_atom_site_fract_y
_atom_site_fract_z
Zn1 Zn 0.989 0.670 0.670
Zn2 Zn 0.500 0.000 0.500
Zn3 Zn 0.000 0.500 0.500
Zn4 Zn 0.500 0.000 0.000
Zn5 Zn 0.878 0.878 0.366
Zn6 Zn 0.122 0.122 0.634
Zn7 Zn 0.330 0.011 0.330
Zn8 Zn 0.122 0.634 0.122
Lu1 Lu 0.296 0.704 0.704
Zn9 Zn 0.330 0.330 0.011
Lu2 Lu 0.296 0.296 0.704
Zn10 Zn 0.878 0.878 0.878
Lu3 Lu 0.704 0.296 0.296
Zn11 Zn 0.500 0.500 0.000
Zn12 Zn 0.634 0.122 0.122
Zn13 Zn 0.366 0.878 0.878
Zn14 Zn 0.878 0.366 0.878
Zn15 Zn 0.000 0.000 0.000
Zn16 Zn 0.122 0.122 0.122
Lu4 Lu 0.704 0.704 0.296
Zn17 Zn 0.011 0.330 0.330
Lu5 Lu 0.704 0.296 0.704
Lu6 Lu 0.296 0.704 0.296
Zn18 Zn 0.670 0.670 0.670
Zn19 Zn 0.000 0.000 0.500
Zn20 Zn 0.000 0.500 0.000
Zn21 Zn 0.330 0.330 0.330
Zn22 Zn 0.670 0.670 0.989
Zn23 Zn 0.670 0.989 0.670
```

## Properties
Its crystal system is cubic. The calculated formation energy comes out at -0.359 eV/atom. The symmetry is Fm-3m. The magnetization comes out at 0.00 Bohr magnetons per cell.